Density functional theory data (GGA-PBEsol) for crystalline LaZnP2Cl at its relaxed geometry.

Energy relative to the elements, uncorrected in eV per atom: 0.316
Final energy in eV for the cell shown: -18.94
N(E_F) in states/eV per cell: 5.66
Size of the total moment in μB per formula unit: 0.57

Unit cell a=5.5114 b=5.5114 c=5.3589 alpha=90.00 beta=90.00 gamma=90.00
Closest atoms and distances in Å follow each position.
Fractional positions:
La 0.0000 0.0000 0.0000  2 Cl 2.68, 4 P 2.76
Zn 0.5000 0.5000 0.5000  8 P 3.84, 4 Cl 3.90
P 0.0000 0.5000 0.0000  2 La 2.76
P 0.5000 0.0000 0.0000  2 La 2.76
Cl 0.0000 0.0000 0.5000  2 La 2.68